VASP calculation (PBE-GGA) on a relaxed TaBeCl crystal.

## Properties
Size of the total moment in Bohr magnetons per cell: 0.00
Crystal system: cubic
Distance to the lowest polymorph of the same formula in eV per formula unit: 4.22
Volume in Å³/atom: 15.244

Lattice parameters (Å, degrees): 4.014 4.014 4.014 60.00 60.00 60.00
Atoms (fractional coordinates):
Cl 0.750 0.750 0.750
Be 0.500 0.500 0.500
Ta 0.000 0.000 0.000

VASP calculation (PBE-GGA) on a relaxed TaBeCl2 crystal.

## Properties
Size of the total moment in Bohr magnetons per cell: 0.00
Crystal system: orthorhombic
Distance to the lowest polymorph of the same formula in eV per formula unit: 4.40
Volume in Å³/atom: 16.298

Lattice parameters (Å, degrees): 2.959 3.825 5.760 90.00 90.00 90.00
Atoms (fractional coordinates):
Ta 0.500 0.500 0.250
Cl 0.000 0.000 0.013
Cl 0.000 0.000 0.487
Be 0.500 0.500 0.750

VASP calculation (PBE-GGA) on a relaxed TaBeCl3 crystal.

## Properties
Size of the total moment in Bohr magnetons per cell: 0.00
Crystal system: cubic
Distance to the lowest polymorph of the same formula in eV per formula unit: 0.00
Volume in Å³/atom: 23.272

Lattice parameters (Å, degrees): 4.882 4.882 4.882 90.00 90.00 90.00
Atoms (fractional coordinates):
Ta 0.000 0.000 0.000
Cl 0.000 0.500 0.000
Cl 0.500 0.000 0.000
Cl 0.000 0.000 0.500
Be 0.500 0.500 0.500

Taking the records one at a time from the top gives energy relative to the elements, uncorrected values of 1023.3; 618.4; 86.7 meV per atom.